Entry from the Alexandria database: a relaxed NpTl2InTe4 crystal (PBE-GGA).

SG: I-42m
ΔE_f (raw) (eV per atom): -0.3512

abc: 7.0837 7.0837 7.0837
angles: 107.15 107.15 114.22
Element x y z (fractional)
Np 0.0000 0.0000 0.0000
Tl 0.0000 0.5000 0.5000
Tl 0.5000 0.0000 0.5000
In 0.5000 0.5000 0.0000
Te 0.0841 0.0841 0.6193
Te 0.4647 0.4647 0.3807
Te 0.5353 0.9159 0.0000
Te 0.9159 0.5353 0.0000

Entry from the Alexandria database: a relaxed Tm2NpIn3Te6 crystal (PBE-GGA).

SG: C2/m
ΔE_f (raw) (eV per atom): -0.7799

abc: 7.6350 7.6350 8.4853
angles: 98.63 98.63 119.98
Element x y z (fractional)
Tm 0.1672 0.8328 0.0000
Tm 0.8328 0.1672 0.0000
Np 0.5000 0.5000 0.0000
In 0.0000 0.0000 0.5000
In 0.3358 0.6642 0.5000
In 0.6642 0.3358 0.5000
Te 0.0866 0.4271 0.7819
Te 0.2311 0.2311 0.2161
Te 0.4271 0.0866 0.7819
Te 0.5729 0.9134 0.2181
Te 0.7689 0.7689 0.7839
Te 0.9134 0.5729 0.2181

Entry from the Alexandria database: a relaxed Np2UIn3Te6 crystal (PBE-GGA).

SG: C2/m
ΔE_f (raw) (eV per atom): -0.4672

abc: 7.5982 7.5982 8.6267
angles: 98.44 98.44 120.00
Element x y z (fractional)
Np 0.1665 0.8335 0.0000
Np 0.8335 0.1665 0.0000
U 0.5000 0.5000 0.0000
In 0.0000 0.0000 0.5000
In 0.3328 0.6672 0.5000
In 0.6672 0.3328 0.5000
Te 0.0956 0.4265 0.7791
Te 0.2433 0.2433 0.2217
Te 0.4265 0.0956 0.7791
Te 0.5735 0.9044 0.2209
Te 0.7567 0.7567 0.7783
Te 0.9044 0.5735 0.2209

Entry from the Alexandria database: a relaxed NpU3In3Te8 crystal (PBE-GGA).

SG: C2/m
ΔE_f (raw) (eV per atom): -0.4734

abc: 8.7584 8.7584 9.6508
angles: 116.96 116.96 60.06
Element x y z (fractional)
Np 0.0000 0.0000 0.0000
U 0.0000 0.5000 0.0000
U 0.5000 0.0000 0.0000
U 0.5000 0.5000 0.0000
In 0.0000 0.0000 0.5000
In 0.0000 0.5000 0.5000
In 0.5000 0.0000 0.5000
Te 0.2413 0.2413 0.2192
Te 0.2412 0.7373 0.2210
Te 0.2585 0.2585 0.7770
Te 0.2627 0.7588 0.7790
Te 0.7373 0.2412 0.2210
Te 0.7415 0.7415 0.2230
Te 0.7588 0.2627 0.7790
Te 0.7587 0.7587 0.7808

Repeat the second record exactly.
Entry from the Alexandria database: a relaxed Tm2NpIn3Te6 crystal (PBE-GGA).

SG: C2/m
ΔE_f (raw) (eV per atom): -0.7799

abc: 7.6350 7.6350 8.4853
angles: 98.63 98.63 119.98
Element x y z (fractional)
Tm 0.1672 0.8328 0.0000
Tm 0.8328 0.1672 0.0000
Np 0.5000 0.5000 0.0000
In 0.0000 0.0000 0.5000
In 0.3358 0.6642 0.5000
In 0.6642 0.3358 0.5000
Te 0.0866 0.4271 0.7819
Te 0.2311 0.2311 0.2161
Te 0.4271 0.0866 0.7819
Te 0.5729 0.9134 0.2181
Te 0.7689 0.7689 0.7839
Te 0.9134 0.5729 0.2181